The following is a PBE calculation of a geometry-optimized La2ZnNi12B3 structure, from the Alexandria database. Values from VASP.

The structure in Quantum ESPRESSO input format:
```
&SYSTEM
  ibrav = 0, nat = 18, ntyp = 4
/
ATOMIC_SPECIES
La 138.91 La.upf
Zn 65.41 Zn.upf
Ni 58.69 Ni.upf
B 10.81 B.upf
CELL_PARAMETERS angstrom
3.6617 2.1141 5.2450
-3.6617 2.1141 5.2450
0.0000 -4.2282 5.2450
ATOMIC_POSITIONS angstrom
La 0.0000 0.0000 1.6519
La 0.0000 0.0000 14.0833
Zn 0.0000 0.0000 7.8676
Ni -1.9429 -1.1217 7.1462
Ni 0.0000 -1.6498 5.5421
Ni -1.4288 0.8249 5.5421
Ni 0.0000 -2.2435 8.5889
Ni -1.9429 1.1217 8.5889
Ni -1.4288 -0.8249 10.1930
Ni 1.4288 0.8249 5.5421
Ni 1.9429 -1.1217 7.1462
Ni 0.0000 2.2435 7.1462
Ni 1.4288 -0.8249 10.1930
Ni 0.0000 1.6498 10.1930
Ni 1.9429 1.1217 8.5889
B -1.8309 -1.0570 5.2450
B -1.8308 1.0570 10.4901
B 0.0000 2.1141 5.2450
```

Output
magnetic moment: 0.00 μB per formula unit
ΔH_f (0 K): -0.06 eV/atom
calculated total energy: -101.6 eV for the cell shown
volume: 13.53 A^3/atom
density: 7.4 g/cm³